## PmNd6In4 (PBE)

Data for a relaxed PmNd6In4 crystal.

Unit cell a=7.9738 b=7.9738 c=12.0324 alpha=90.00 beta=90.00 gamma=90.00
Space group I-42m (No. 121)
Inequivalent atoms, fractional coordinates:
Pm 0.0000 0.0000 0.0000 [2 per cell]
Nd 0.0000 0.5000 0.0000 [4 per cell]
Nd 0.1885 0.1885 0.7185 [8 per cell]
In 0.1607 0.1607 0.4352 [8 per cell]

Properties
DOS(E_F) = 1.23 states/eV per atom
Total moment = 0.00 μB per atom
Energy relative to the elements = -0.15 eV/atom